Entry 1:
7
Lattice="-2.7114 2.7114 6.6506 2.7114 -2.7114 6.6506 2.7114 2.7114 -6.6506" Properties=species:S:1:pos:R:3 comment="La2ThAu4, optimized geometry, DFT PBE" ef_ev_per_atom=-0.630 pbc="T T T"
La 0.0000 0.0000 2.8514
La 0.0000 0.0000 10.4497
Th 0.0000 0.0000 6.6506
Au 2.7114 0.0000 1.4955
Au 2.7114 0.0000 5.1550
Au 0.0000 2.7114 1.4955
Au 0.0000 2.7114 5.1550


Entry 2:
4
Lattice="1.7645 1.0187 11.6825 -1.7645 1.0187 11.6825 0.0000 -2.0375 11.6825" Properties=species:S:1:pos:R:3 comment="La2ThAu, optimized geometry, DFT PBE" ef_ev_per_atom=-0.022 e_above_lowest_polymorph_kcal_per_mol_atoms=8.337 pbc="T T T"
La 0.0000 0.0000 3.4478
La 0.0000 0.0000 31.5997
Th 0.0000 0.0000 0.0000
Au 0.0000 0.0000 17.5238


Entry 3:
7
Lattice="-2.7052 2.7052 6.5835 2.7052 -2.7052 6.5835 2.7052 2.7052 -6.5835" Properties=species:S:1:pos:R:3 comment="LaTh2Au4, optimized geometry, DFT PBE" ef_ev_per_atom=-0.524 pbc="T T T"
La 0.0000 0.0000 0.0000
Th 0.0000 0.0000 3.7661
Th 0.0000 0.0000 9.4008
Au 2.7052 0.0000 1.5680
Au 2.7052 0.0000 5.0155
Au 0.0000 2.7052 1.5680
Au 0.0000 2.7052 5.0155


Entry 4:
8
Lattice="6.0886 0.0000 0.0000 0.0000 4.7714 0.0000 -2.8568 0.0000 7.5057" Properties=species:S:1:pos:R:3 comment="LaThAu2, optimized geometry, DFT PBE" ef_ev_per_atom=-0.701 pbc="T T T"
La 0.8021 1.1928 1.3440
La 2.4297 3.5785 6.1617
Th -0.5324 1.1928 5.0989
Th 3.7642 3.5785 2.4068
Au 0.6310 3.5785 3.4517
Au -0.6898 3.5785 7.1288
Au 3.9216 1.1928 0.3769
Au 2.6008 1.1928 4.0540


Entry 5:
4
Lattice="3.7383 0.0000 0.0000 0.0000 3.7383 0.0000 0.0000 0.0000 8.6388" Properties=species:S:1:pos:R:3 comment="La2ThAu, optimized geometry, DFT PBE" ef_ev_per_atom=-0.383 e_above_lowest_polymorph_kcal_per_mol_atoms=0.000 pbc="T T T"
La 0.0000 0.0000 1.9075
La 0.0000 0.0000 6.7313
Th 1.8692 1.8692 4.3194
Au 1.8692 1.8692 0.0000


Entry 6:
3
Lattice="4.9848 0.0000 0.0000 -2.4924 4.3170 0.0000 0.0000 0.0000 4.4042" Properties=species:S:1:pos:R:3 comment="LaThAu, optimized geometry, DFT PBE" ef_ev_per_atom=-0.228 e_above_lowest_polymorph_kcal_per_mol_atoms=4.248 pbc="T T T"
La 0.0000 0.0000 0.0000
Th 0.0000 2.8780 2.2031
Au 2.4924 1.4390 2.1974


Entry 7:
8
Lattice="-3.7632 3.7632 3.7632 3.7632 -3.7632 3.7632 3.7632 3.7632 -3.7632" Properties=species:S:1:pos:R:3 comment="La3ThAu4, optimized geometry, DFT PBE" ef_ev_per_atom=-0.718 pbc="T T T"
La 3.7632 0.0000 0.0000
La 0.0000 3.7632 0.0000
La 0.0000 0.0000 3.7632
Th 0.0000 0.0000 0.0000
Au 1.8816 1.8816 -1.8816
Au 1.8816 -1.8816 1.8816
Au -1.8816 1.8816 1.8816
Au 1.8816 1.8816 1.8816


Entry 8:
3
Lattice="-1.8988 1.8988 6.1660 1.8988 -1.8988 6.1660 1.8988 1.8988 -6.1660" Properties=species:S:1:pos:R:3 comment="LaThAu, optimized geometry, DFT PBE" ef_ev_per_atom=-0.412 e_above_lowest_polymorph_kcal_per_mol_atoms=0.000 pbc="T T T"
La 0.0000 0.0000 0.0000
Th 0.0000 0.0000 3.6805
Au 0.0000 0.0000 8.2691